1.
Below is Zn2In2PdAu5 after structural relaxation, with properties calculated at the GGA-PBE level.

POSCAR file:
```
Zn2In2PdAu5
1.0
9.954 0.000 0.000
0.000 9.954 0.000
0.000 0.000 3.794
Zn In Pd Au
4 4 2 10
Direct
0.137 0.363 0.000
0.363 0.863 0.000
0.637 0.137 0.000
0.863 0.637 0.000
0.173 0.673 0.000
0.327 0.173 0.000
0.673 0.827 0.000
0.827 0.327 0.000
0.000 0.000 0.000
0.500 0.500 0.000
0.000 0.500 0.500
0.016 0.208 0.500
0.208 0.984 0.500
0.292 0.484 0.500
0.484 0.708 0.500
0.500 0.000 0.500
0.516 0.292 0.500
0.708 0.516 0.500
0.792 0.016 0.500
0.984 0.792 0.500
```

## Properties
**Volume**: 18.80 Å³/atom
**E_tot**: -62.01 eV/cell
**SG**: P4/mbm (127)
**DFT formation energy**: -0.1402 eV per atom


2.
Below is Zn2InPd5Au2 after structural relaxation, with properties calculated at the GGA-PBE level.

POSCAR file:
```
Zn2InPd5Au2
1.0
9.222 0.000 0.000
0.000 9.222 0.000
0.000 0.000 3.907
Zn In Pd Au
4 2 10 4
Direct
0.127 0.373 0.000
0.373 0.873 0.000
0.627 0.127 0.000
0.873 0.627 0.000
0.000 0.000 0.000
0.500 0.500 0.000
0.000 0.500 0.500
0.086 0.196 0.500
0.196 0.914 0.500
0.304 0.414 0.500
0.414 0.696 0.500
0.500 0.000 0.500
0.586 0.304 0.500
0.696 0.586 0.500
0.804 0.086 0.500
0.914 0.804 0.500
0.168 0.668 0.000
0.332 0.168 0.000
0.668 0.832 0.000
0.832 0.332 0.000
```

## Properties
**Volume**: 16.61 Å³/atom
**E_tot**: -81.97 eV/cell
**SG**: P4/mbm (127)
**DFT formation energy**: -0.3182 eV per atom


3.
Below is PmIn2Au6 after structural relaxation, with properties calculated at the GGA-PBE level.

POSCAR file:
```
PmIn2Au6
1.0
4.559 -7.605 0.000
4.559 7.605 0.000
-0.132 0.000 5.368
Pm In Au
2 4 12
Direct
0.243 0.757 0.750
0.757 0.243 0.250
0.167 0.347 0.487
0.347 0.167 0.987
0.653 0.833 0.013
0.833 0.653 0.513
0.019 0.168 0.978
0.083 0.590 0.242
0.168 0.019 0.478
0.336 0.500 0.000
0.410 0.917 0.258
0.500 0.336 0.500
0.500 0.664 0.500
0.590 0.083 0.742
0.664 0.500 0.000
0.832 0.981 0.522
0.917 0.410 0.758
0.981 0.832 0.022
```

## Properties
**Volume**: 20.68 Å³/atom
**Energy above the lowest structure with this stoichiometry**: 0.000 eV per atom
**E_tot**: -65.91 eV/cell
**SG**: C2/c (15)
**DFT formation energy**: -0.3405 eV per atom


4.
Below is Pm3In4Au2 after structural relaxation, with properties calculated at the GGA-PBE level.

POSCAR file:
```
Pm3In4Au2
1.0
5.691 -2.421 0.000
5.691 2.421 0.000
-3.859 0.000 8.340
Pm In Au
3 4 2
Direct
0.000 0.000 0.000
0.323 0.323 0.351
0.677 0.677 0.649
0.027 0.027 0.361
0.263 0.263 0.921
0.737 0.737 0.079
0.973 0.973 0.639
0.400 0.400 0.729
0.600 0.600 0.271
```

## Properties
**Volume**: 25.54 Å³/atom
**Energy above the lowest structure with this stoichiometry**: 0.000 eV per atom
**E_tot**: -37.30 eV/cell
**SG**: C2/m (12)
**DFT formation energy**: -0.6158 eV per atom


5.
Below is Pm2InAu4 after structural relaxation, with properties calculated at the GGA-PBE level.

POSCAR file:
```
Pm2InAu4
1.0
2.344 1.353 9.269
-2.344 1.353 9.269
0.000 -2.707 9.269
Pm In Au
2 1 4
Direct
0.248 0.248 0.248
0.752 0.752 0.752
0.000 0.000 0.000
0.139 0.139 0.139
0.367 0.367 0.367
0.633 0.633 0.633
0.861 0.861 0.861
```

## Properties
**Volume**: 25.20 Å³/atom
**E_tot**: -29.48 eV/cell
**SG**: R-3m (166)
**DFT formation energy**: -0.5896 eV per atom


6.
Below is Pm2In3Au after structural relaxation, with properties calculated at the GGA-PBE level.

POSCAR file:
```
Pm2In3Au
1.0
0.000 4.894 8.512
3.708 0.000 8.512
3.708 4.894 0.000
Pm In Au
4 6 2
Direct
0.244 0.756 0.756
0.250 0.250 0.250
0.750 0.750 0.750
0.756 0.244 0.244
0.160 0.670 0.330
0.330 0.840 0.160
0.331 0.331 0.669
0.669 0.669 0.331
0.670 0.160 0.840
0.840 0.330 0.670
0.168 0.168 0.832
0.832 0.832 0.168
```

## Properties
**Volume**: 25.74 Å³/atom
**E_tot**: -48.71 eV/cell
**SG**: Fmmm (69)
**DFT formation energy**: -0.5599 eV per atom


7.
Below is Pm3In2Au4 after structural relaxation, with properties calculated at the GGA-PBE level.

POSCAR file:
```
Pm3In2Au4
1.0
5.656 -2.374 0.000
5.656 2.374 0.000
-4.130 0.000 8.075
Pm In Au
3 2 4
Direct
0.000 0.000 0.000
0.354 0.354 0.312
0.646 0.646 0.688
0.353 0.353 0.685
0.647 0.647 0.315
0.071 0.071 0.404
0.281 0.281 0.939
0.719 0.719 0.061
0.929 0.929 0.596
```

## Properties
**Volume**: 24.09 Å³/atom
**E_tot**: -39.28 eV/cell
**SG**: C2/m (12)
**DFT formation energy**: -0.7159 eV per atom


8.
Below is PmInAu11 after structural relaxation, with properties calculated at the GGA-PBE level.

POSCAR file:
```
PmInAu11
1.0
2.801 -6.612 0.000
2.801 6.612 0.000
-2.702 0.000 7.018
Pm In Au
1 1 11
Direct
0.000 0.000 0.000
0.500 0.500 0.500
0.000 0.000 0.500
0.000 0.500 0.000
0.011 0.662 0.659
0.296 0.508 0.789
0.338 0.989 0.341
0.492 0.704 0.211
0.500 0.000 0.000
0.508 0.296 0.789
0.662 0.011 0.659
0.704 0.492 0.211
0.989 0.338 0.341
```

## Properties
**Volume**: 20.00 Å³/atom
**E_tot**: -46.21 eV/cell
**SG**: C2/m (12)
**DFT formation energy**: -0.2051 eV per atom


9.
Below is PmInAu2 after structural relaxation, with properties calculated at the GGA-PBE level.

POSCAR file:
```
PmInAu2
1.0
4.902 0.000 0.000
0.000 4.902 0.000
0.000 0.000 3.847
Pm In Au
1 1 2
Direct
0.000 0.000 0.000
0.500 0.500 0.000
0.000 0.500 0.500
0.500 0.000 0.500
```

## Properties
**Volume**: 23.11 Å³/atom
**E_tot**: -16.27 eV/cell
**SG**: P4/mmm (123)
**DFT formation energy**: -0.5576 eV per atom


10.
Below is Pm6InAu5 after structural relaxation, with properties calculated at the GGA-PBE level.

POSCAR file:
```
Pm6InAu5
1.0
2.606 -7.895 0.000
2.606 7.895 0.000
0.000 0.000 7.503
Pm In Au
6 1 5
Direct
0.000 0.000 0.237
0.000 0.000 0.763
0.329 0.671 0.249
0.329 0.671 0.751
0.671 0.329 0.249
0.671 0.329 0.751
0.500 0.500 0.500
0.154 0.846 0.500
0.168 0.832 0.000
0.500 0.500 0.000
0.832 0.168 0.000
0.846 0.154 0.500
```

## Properties
**Volume**: 25.72 Å³/atom
**E_tot**: -56.30 eV/cell
**SG**: Cmmm (65)
**DFT formation energy**: -0.7228 eV per atom


11.
Below is Pm2InAu8 after structural relaxation, with properties calculated at the GGA-PBE level.

POSCAR file:
```
Pm2InAu8
1.0
3.954 -7.662 0.000
3.954 7.662 0.000
-3.421 0.000 4.006
Pm In Au
2 1 8
Direct
0.182 0.818 0.000
0.818 0.182 0.000
0.500 0.500 0.500
0.053 0.053 0.803
0.130 0.404 0.743
0.307 0.693 0.500
0.404 0.130 0.743
0.596 0.870 0.257
0.693 0.307 0.500
0.870 0.596 0.257
0.947 0.947 0.197
```

## Properties
**Volume**: 22.07 Å³/atom
**E_tot**: -43.69 eV/cell
**SG**: C2/m (12)
**DFT formation energy**: -0.4757 eV per atom


12.
Below is Pm2In5Au3 after structural relaxation, with properties calculated at the GGA-PBE level.

POSCAR file:
```
Pm2In5Au3
1.0
2.320 -13.565 0.000
2.320 13.565 0.000
0.000 0.000 7.552
Pm In Au
4 10 6
Direct
0.020 0.980 0.500
0.326 0.674 0.541
0.674 0.326 0.041
0.980 0.020 0.000
0.100 0.900 0.859
0.207 0.793 0.335
0.207 0.793 0.749
0.380 0.620 0.008
0.448 0.552 0.669
0.552 0.448 0.169
0.620 0.380 0.508
0.793 0.207 0.249
0.793 0.207 0.835
0.900 0.100 0.359
0.108 0.892 0.245
0.275 0.725 0.042
0.454 0.546 0.284
0.546 0.454 0.784
0.725 0.275 0.542
0.892 0.108 0.745
```

## Properties
**Volume**: 23.76 Å³/atom
**Energy above the lowest structure with this stoichiometry**: 0.000 eV per atom
**E_tot**: -76.62 eV/cell
**SG**: Cmc2_1 (36)
**DFT formation energy**: -0.5283 eV per atom


13.
Below is PmIn2Au7 after structural relaxation, with properties calculated at the GGA-PBE level.

POSCAR file:
```
PmIn2Au7
1.0
3.602 -8.200 0.000
3.602 8.200 0.000
0.000 0.000 4.287
Pm In Au
1 2 7
Direct
0.000 0.000 0.000
0.294 0.706 0.500
0.706 0.294 0.500
0.097 0.299 0.500
0.190 0.810 0.000
0.299 0.097 0.500
0.500 0.500 0.500
0.701 0.903 0.500
0.810 0.190 0.000
0.903 0.701 0.500
```

## Properties
**Volume**: 25.33 Å³/atom
**E_tot**: -34.98 eV/cell
**SG**: Cmmm (65)
**DFT formation energy**: -0.1810 eV per atom


14.
Below is Pm2In3Au6 after structural relaxation, with properties calculated at the GGA-PBE level.

POSCAR file:
```
Pm2In3Au6
1.0
4.877 -6.653 0.000
4.877 6.653 0.000
0.000 0.000 4.012
Pm In Au
2 3 6
Direct
0.197 0.197 0.000
0.803 0.803 0.000
0.269 0.731 0.000
0.500 0.500 0.500
0.731 0.269 0.000
0.112 0.888 0.500
0.147 0.457 0.500
0.457 0.147 0.500
0.543 0.853 0.500
0.853 0.543 0.500
0.888 0.112 0.500
```

## Properties
**Volume**: 23.67 Å³/atom
**E_tot**: -42.61 eV/cell
**SG**: Cmmm (65)
**DFT formation energy**: -0.4758 eV per atom


15.
Below is Pm2In5Au3 after structural relaxation, with properties calculated at the GGA-PBE level.

POSCAR file:
```
Pm2In5Au3
1.0
-5.995 6.340 3.225
5.995 -6.340 3.225
5.995 6.340 -3.225
Pm In Au
4 10 6
Direct
0.132 0.241 0.372
0.368 0.741 0.109
0.632 0.259 0.891
0.868 0.759 0.628
0.007 0.750 0.257
0.108 0.648 0.755
0.250 0.250 0.000
0.392 0.148 0.540
0.493 0.750 0.743
0.507 0.250 0.257
0.608 0.852 0.460
0.750 0.750 0.000
0.892 0.352 0.245
0.993 0.250 0.743
0.130 0.866 0.996
0.250 0.750 0.500
0.370 0.366 0.735
0.630 0.634 0.265
0.750 0.250 0.500
0.870 0.134 0.004
```

## Properties
**Volume**: 24.51 Å³/atom
**Energy above the lowest structure with this stoichiometry**: 0.076 eV per atom
**E_tot**: -75.09 eV/cell
**SG**: Ibam (72)
**DFT formation energy**: -0.4519 eV per atom


16.
Below is PmIn2Au3 after structural relaxation, with properties calculated at the GGA-PBE level.

POSCAR file:
```
PmIn2Au3
1.0
5.478 0.000 0.000
0.000 11.704 0.000
0.000 0.000 4.431
Pm In Au
2 4 6
Direct
0.250 0.250 0.130
0.750 0.750 0.870
0.250 0.589 0.142
0.250 0.911 0.142
0.750 0.089 0.858
0.750 0.411 0.858
0.250 0.069 0.645
0.250 0.431 0.645
0.250 0.750 0.619
0.750 0.250 0.381
0.750 0.569 0.355
0.750 0.931 0.355
```

## Properties
**Volume**: 23.67 Å³/atom
**E_tot**: -45.14 eV/cell
**SG**: Pmmn (59)
**DFT formation energy**: -0.4183 eV per atom


17.
Below is Pm5InAu3 after structural relaxation, with properties calculated at the GGA-PBE level.

POSCAR file:
```
Pm5InAu3
1.0
9.033 0.000 0.000
-4.517 7.823 0.000
0.000 0.000 6.983
Pm In Au
10 2 6
Direct
0.000 0.293 0.250
0.000 0.707 0.750
0.293 0.000 0.250
0.293 0.293 0.750
0.333 0.667 0.000
0.333 0.667 0.500
0.667 0.333 0.000
0.667 0.333 0.500
0.707 0.000 0.750
0.707 0.707 0.250
0.000 0.000 0.000
0.000 0.000 0.500
0.000 0.379 0.750
0.000 0.621 0.250
0.379 0.000 0.750
0.379 0.379 0.250
0.621 0.000 0.250
0.621 0.621 0.750
```

## Properties
**Volume**: 27.42 Å³/atom
**E_tot**: -82.41 eV/cell
**SG**: P6_3/mcm (193)
**DFT formation energy**: -0.5423 eV per atom


18.
Below is Pm2In3Au2 after structural relaxation, with properties calculated at the GGA-PBE level.

POSCAR file:
```
Pm2In3Au2
1.0
10.962 0.000 0.000
0.000 4.549 0.000
-2.852 0.000 6.924
Pm In Au
4 6 4
Direct
0.146 0.000 0.289
0.354 0.500 0.711
0.646 0.500 0.289
0.854 0.000 0.711
0.000 0.500 0.500
0.111 0.500 0.935
0.389 0.000 0.065
0.500 0.000 0.500
0.611 0.000 0.935
0.889 0.500 0.065
0.160 0.000 0.718
0.340 0.500 0.282
0.660 0.500 0.718
0.840 0.000 0.282
```

## Properties
**Volume**: 24.66 Å³/atom
**Energy above the lowest structure with this stoichiometry**: 0.000 eV per atom
**E_tot**: -56.64 eV/cell
**SG**: C2/m (12)
**DFT formation energy**: -0.5785 eV per atom


19.
Below is Pm3In2Au7 after structural relaxation, with properties calculated at the GGA-PBE level.

POSCAR file:
```
Pm3In2Au7
1.0
5.240 0.000 0.000
0.000 4.428 0.000
-0.069 0.000 12.249
Pm In Au
3 2 7
Direct
0.000 0.000 0.000
0.470 0.500 0.331
0.530 0.500 0.669
0.007 0.000 0.292
0.993 0.000 0.708
0.104 0.500 0.834
0.250 0.000 0.503
0.490 0.000 0.155
0.500 0.500 0.000
0.510 0.000 0.845
0.750 0.000 0.497
0.896 0.500 0.166
```

## Properties
**Volume**: 23.68 Å³/atom
**E_tot**: -49.52 eV/cell
**SG**: P2/m (10)
**DFT formation energy**: -0.5708 eV per atom


20.
Below is Pm2InAu6 after structural relaxation, with properties calculated at the GGA-PBE level.

POSCAR file:
```
Pm2InAu6
1.0
3.601 -6.538 0.000
3.601 6.538 0.000
0.000 0.000 4.247
Pm In Au
2 1 6
Direct
0.207 0.793 0.000
0.793 0.207 0.000
0.000 0.000 0.500
0.160 0.450 0.500
0.295 0.295 0.000
0.450 0.160 0.500
0.550 0.840 0.500
0.705 0.705 0.000
0.840 0.550 0.500
```

## Properties
**Volume**: 22.22 Å³/atom
**Energy above the lowest structure with this stoichiometry**: 0.029 eV per atom
**E_tot**: -36.89 eV/cell
**SG**: Cmmm (65)
**DFT formation energy**: -0.5543 eV per atom